Below is ZrMoW2 after structural relaxation, with properties calculated at the GGA-PBE level.

```
4
Lattice="2.7121 0.0000 0.0000 0.0000 4.7900 0.0000 0.0000 0.0000 5.4209" Properties=species:S:1:pos:R:3 pbc="T T T"
Mo 1.3560 2.3950 4.0657
W 0.0000 0.0000 2.7238
Zr 1.3560 2.3950 1.3552
W 0.0000 0.0000 5.4076
```

## Properties
The calculation puts the energy relative to the elements at 351 meV per atom. The space group is Pmmm (47). For the density of states at the Fermi level, the calculation gives 3.8 states/eV/f.u.



Below is ZrMoW2 after structural relaxation, with properties calculated at the GGA-PBE level.

```
4
Lattice="-1.9135 -2.3909 -3.4077 -0.6823 -2.0736 1.8380 -4.8537 1.6153 1.5921" Properties=species:S:1:pos:R:3 pbc="T T T"
Mo -5.1087 -1.5391 0.8687
W -5.4976 -0.4456 3.3997
W -2.8064 -0.2417 1.7454
Zr -2.3407 -1.3100 -0.8463
```

## Properties
The calculation puts the energy relative to the elements at 77 meV per atom. The space group is P2/m (10). For the density of states at the Fermi level, the calculation gives 3.6 states/eV/f.u.



Below is ZrMo6W12 after structural relaxation, with properties calculated at the GGA-PBE level.

```
19
Lattice="7.1717 -0.3321 -0.8006 -0.8573 7.1280 -0.8006 -0.3085 -0.3321 7.2097" Properties=species:S:1:pos:R:3 pbc="T T T"
W 3.0984 0.8496 2.8934
W 0.6200 3.1524 2.8934
W 3.2065 0.4648 5.7755
Mo 4.8910 1.0948 0.6845
Mo 1.0172 1.0948 4.8328
W 0.0247 5.9991 2.8042
W 0.2283 3.2320 5.7755
W 5.9811 0.4648 2.8042
W 5.3859 3.3115 2.7151
W 2.9075 5.6143 2.7151
Mo 5.2729 1.5057 4.9240
W 3.0769 3.3115 5.1877
W 2.7994 5.9991 -0.1670
Mo 1.1148 5.3691 4.9240
W 5.7776 3.2320 -0.1670
Mo 0.7330 4.9582 0.6845
Zr 0.0000 0.0000 0.0000
W 2.9290 3.1524 0.4207
Mo 4.9887 5.3691 0.7756
```

## Properties
The calculation puts the energy relative to the elements at 1003 meV per atom. The space group is R-3m (166). For the density of states at the Fermi level, the calculation gives 14.9 states/eV/f.u.



Below is ZrMo6W5 after structural relaxation, with properties calculated at the GGA-PBE level.

```
12
Lattice="4.3381 0.0184 -1.2660 -0.8774 5.6174 -2.9252 -0.0724 0.4240 7.8238" Properties=species:S:1:pos:R:3 pbc="T T T"
W -0.4387 2.8087 -1.4626
Mo 1.9446 1.4462 -1.3813
Mo 1.5161 4.1895 -2.8099
Mo 3.4829 0.7637 3.8800
W 1.1073 2.1652 3.8257
Zr 0.0000 0.0000 0.0000
W 0.6594 4.9558 2.3313
W 2.7289 1.1039 1.3013
Mo 3.0487 3.5437 2.4324
Mo 0.3396 2.5160 1.2002
W 2.2810 3.8946 -0.1931
Mo -0.0946 5.2960 -0.2474
```

## Properties
The calculation puts the energy relative to the elements at -36 meV per atom. The space group is Immm (71). For the density of states at the Fermi level, the calculation gives 6.3 states/eV/f.u.



Below is ZrMoW2 after structural relaxation, with properties calculated at the GGA-PBE level.

```
4
Lattice="5.4029 0.0055 -0.0028 4.4255 3.0995 -0.0028 1.9963 0.6307 4.1374" Properties=species:S:1:pos:R:3 pbc="T T T"
W 9.8215 3.1029 -0.0018
Zr 5.9263 1.8723 2.0585
Mo 3.0293 0.9570 0.9939
W 8.7884 2.7765 3.1417
```

## Properties
The calculation puts the energy relative to the elements at 58 meV per atom. The space group is Imm2 (44). For the density of states at the Fermi level, the calculation gives 3.4 states/eV/f.u.



Below is ZrMoW after structural relaxation, with properties calculated at the GGA-PBE level.

```
12
Lattice="5.8515 0.0000 0.0143 0.0000 4.5194 0.0000 -5.6648 0.0000 8.1013" Properties=species:S:1:pos:R:3 pbc="T T T"
Mo -1.3179 0.0000 7.9742
Zr 0.6788 2.2597 6.7339
W -0.4207 0.0000 5.3285
W -2.2250 2.2597 6.8377
Mo 1.5145 2.2597 3.9236
Zr 3.5112 0.0000 2.6833
Zr -3.3244 0.0000 5.4323
W 2.4117 2.2597 1.2778
Zr -0.4921 2.2597 1.3817
Mo 1.5046 0.0000 0.1414
Mo -1.3278 2.2597 4.1920
W 0.6074 0.0000 2.7871
```

## Properties
The calculation puts the energy relative to the elements at 49 meV per atom. The space group is C2/m (12). For the density of states at the Fermi level, the calculation gives 3.2 states/eV/f.u.



Below is ZrMoW after structural relaxation, with properties calculated at the GGA-PBE level.

```
12
Lattice="-1.5866 -5.3627 1.1583 4.3053 -1.0269 1.1428 0.0460 7.4521 6.5228" Properties=species:S:1:pos:R:3 pbc="T T T"
Zr -0.4032 3.5834 4.7390
Mo -1.2094 -1.5458 3.1671
W -1.2277 0.9314 5.4620
Mo -0.4489 -1.3627 0.4667
Mo 0.9662 1.6668 6.9999
Zr 1.7361 4.3787 6.5364
Mo 1.7267 1.8499 4.2995
W -1.2398 -4.0352 1.0446
Zr -0.4395 1.1661 2.7036
W 0.9359 -0.8226 4.8774
W 0.9019 -3.3082 2.7720
Zr 1.7264 -0.6562 2.0490
```

## Properties
The calculation puts the energy relative to the elements at 56 meV per atom. The space group is Cm (8). For the density of states at the Fermi level, the calculation gives 3.0 states/eV/f.u.



Below is ZrMoW2 after structural relaxation, with properties calculated at the GGA-PBE level.

```
4
Lattice="-4.8161 -5.7778 5.1712 -5.1775 -7.0990 2.4732 -2.7087 -7.6797 4.1236" Properties=species:S:1:pos:R:3 pbc="T T T"
W -6.4314 -10.4082 5.9584
Zr -9.5267 -15.4175 8.8260
W -12.6220 -20.4267 11.6936
Mo -3.1756 -5.1392 2.9420
```

## Properties
The calculation puts the energy relative to the elements at 376 meV per atom. The space group is R-3m (166). For the density of states at the Fermi level, the calculation gives 3.0 states/eV/f.u.